# 1
DFT (PBE) results for TbHgAu2 after structural relaxation.

```
TbHgAu2
1.0
-2.702 2.086 1.355
1.259 -0.578 3.401
3.857 5.333 -0.521
Au Hg Tb
2 1 1
direct
0.000 0.000 0.245 Au
0.000 0.000 0.755 Au
0.500 0.500 0.500 Hg
0.500 0.500 0.000 Tb
```

Summary:
**Formation energy from the elements**: -536 meV per atom
**SG**: No. 123



# 2
DFT (PBE) results for NaGe2Pb after structural relaxation.

```
NaGe2Pb
1.0
-6.465 -2.355 4.596
4.880 -0.378 6.671
-1.403 1.499 6.242
Ge Pb Na
4 2 2
direct
0.375 0.345 0.750 Ge
0.095 0.625 0.250 Ge
0.875 0.905 0.750 Ge
0.655 0.125 0.250 Ge
0.000 0.000 0.000 Pb
0.750 0.250 0.500 Pb
0.500 0.500 0.000 Na
0.250 0.750 0.500 Na
```

Summary:
**Formation energy from the elements**: 221 meV per atom
**SG**: No. 122